Entry 1:
## Ca3Si4Ag2O14 (PBE)

Data for an optimized crystal structure of Ca3Si4Ag2O14.

Properties
total moment: 0.061 μB per formula unit
DFT total energy: -6.745 eV per atom
uncorrected formation energy: -2274.5 meV per atom

```
Ca3Si4Ag2O14
1.0
9.5036 -0.0743 0.0620
6.2164 7.1889 0.0620
5.0417 2.2818 8.8430
O Ca Si Ag
28 6 8 4
direct
0.7520 0.0206 0.0362
0.9084 0.4591 0.1771
0.4591 0.9084 0.6771
0.9176 0.5158 0.6964
0.9794 0.2480 0.4638
0.0208 0.1141 0.7773
0.4777 0.6251 0.3234
0.6568 0.1491 0.4964
0.3706 0.2891 0.0982
0.4842 0.0824 0.8036
0.0824 0.4842 0.3036
0.5409 0.0916 0.3229
0.6251 0.4777 0.8234
0.1491 0.6568 0.9964
0.6294 0.7109 0.9018
0.1141 0.0208 0.2773
0.8859 0.9792 0.7227
0.0206 0.7520 0.5362
0.9792 0.8859 0.2227
0.5223 0.3749 0.6766
0.7109 0.6294 0.4018
0.8509 0.3432 0.0036
0.2480 0.9794 0.9638
0.3432 0.8509 0.5036
0.0916 0.5409 0.8229
0.5158 0.9176 0.1964
0.3749 0.5223 0.1766
0.2891 0.3706 0.5982
0.2465 0.1455 0.5290
0.3432 0.6568 0.7500
0.7535 0.8545 0.4710
0.1455 0.2465 0.0290
0.6568 0.3432 0.2500
0.8545 0.7535 0.9710
0.7576 0.4989 0.8622
0.4989 0.7576 0.3622
0.0832 0.5500 0.6682
0.5011 0.2424 0.6378
0.5500 0.0832 0.1682
0.4500 0.9168 0.8318
0.2424 0.5011 0.1378
0.9168 0.4500 0.3318
0.0000 0.0000 0.0000
0.0000 0.0000 0.5000
0.7650 0.2350 0.7500
0.2350 0.7650 0.2500
```


Entry 2:
## Cs2TlZnAs (PBE)

Data for an optimized crystal structure of Cs2TlZnAs.

Properties
D(E_F): 1.3 states/eV per cell
total moment: 0.000 μB per formula unit
formation energy: 56 kJ/mol of formula units
DFT total energy: -1.883 eV per atom

```
Cs2TlZnAs
1.0
-3.5718 5.4662 3.3531
1.9324 -1.5958 4.6599
5.8254 4.3703 -0.9191
Cs Tl Zn As
2 1 1 1
direct
0.0000 0.0000 0.5000
0.5000 0.0000 0.0000
0.0000 0.0000 0.0000
0.5000 0.5000 0.5000
0.0000 0.5000 0.0000
```